The following is a PBE-GGA calculation of a relaxed structure of ErReTcW, from Alexandria.

a = 4.5805 Å, b = 4.5805 Å, c = 4.5805 Å
α = 60.00°, β = 60.00°, γ = 60.00°
Last column: nearest neighbours and their distance in Å.
Positions (direct):
Er1 0.0000 0.0000 0.0000  4 Tc 2.80, 4 Re 2.80
Re1 0.2500 0.2500 0.2500  4 W 2.80, 4 Er 2.80
Tc1 0.7500 0.7500 0.7500  4 Er 2.80, 4 W 2.80
W1 0.5000 0.5000 0.5000  4 Tc 2.80, 4 Re 2.80

Summary:
The magnetic moment comes out at 0.0 μB/f.u. The space group is No. 216. Its density of states at the Fermi level is 4.1 states/eV/f.u. The energy is -40.070 eV per cell. For the energy relative to the elements, the calculation gives 0.065 eV per atom. The calculation puts the theoretical density at 15.5 g cm⁻³.